1.
A relaxed structure of NdCdNi2, computed with PBE-GGA.

The structure belongs to space group Pmma (No. 51); the cell edges are 5.122, 4.054 and 7.249 Å and the angles 90.00°, 90.00° and 90.00°. The asymmetric unit holds Nd at (0.250, 0.000, 0.224), Cd at (0.250, 0.500, 0.849), Ni at (0.000, 0.500, 0.500) and Ni at (0.250, 0.000, 0.597).

The calculation puts the formation energy at -0.32 eV/atom. Its volume is 18.82 Å³/atom.

---

2.
A relaxed structure of Ta2V3B2, computed with PBE-GGA.

The structure belongs to space group C2/m (No. 12); the cell edges are 9.008, 3.186 and 6.069 Å and the angles 90.00°, 97.25° and 90.00°. The asymmetric unit holds Ta at (0.135, 0.000, 0.359), V at (0.000, 0.500, 0.000), V at (0.176, 0.000, 0.856) and B at (0.068, 0.500, 0.629).

The calculation puts the formation energy at -0.48 eV/atom. Its volume is 12.34 Å³/atom.

---

3.
A relaxed structure of AlOsI3, computed with PBE-GGA.

The structure belongs to space group Pm-3m (No. 221); the cell edges are 5.477, 5.477 and 5.477 Å and the angles 90.00°, 90.00° and 90.00°. The asymmetric unit holds Al at (0.000, 0.000, 0.000), Os at (0.500, 0.500, 0.500) and I at (0.000, 0.500, 0.500).

The formation energy (no corrections) comes out at 677.1 meV per atom. Its volume is 32.85 Å³/atom.

---

4.
A relaxed structure of RbSbTe2S, computed with PBE-GGA.

The structure belongs to space group P4/mmm (No. 123); the cell edges are 6.860, 6.860 and 7.068 Å and the angles 90.00°, 90.00° and 90.00°. The asymmetric unit holds Rb at (0.000, 0.000, 0.000), Sb at (0.000, 0.000, 0.500), Te at (0.000, 0.500, 0.000) and S at (0.500, 0.500, 0.500).

The formation energy (no corrections) comes out at 1406.6 meV per atom. Its volume is 66.53 Å³/atom.

---

5.
A relaxed structure of La2YAg3, computed with PBE-GGA.

The structure belongs to space group P4/mmm (No. 123); the cell edges are 3.728, 3.728 and 11.502 Å and the angles 90.00°, 90.00° and 90.00°. The asymmetric unit holds La at (0.000, 0.000, 0.172), Y at (0.000, 0.000, 0.500), Ag at (0.500, 0.500, 0.000) and Ag at (0.500, 0.500, 0.352).

The calculation puts the formation energy at -0.28 eV/atom. Its volume is 26.64 Å³/atom.

---

6.
A relaxed structure of LiSiNi2, computed with PBE-GGA.

The structure belongs to space group Cm (No. 8); the cell edges are 8.570, 2.634 and 4.068 Å and the angles 90.00°, 106.81° and 90.00°. The asymmetric unit holds Li at (0.000, 0.000, 0.000), Si at (0.236, 0.000, 0.628), Ni at (0.002, 0.500, 0.509) and Ni at (0.251, 0.500, 0.140).

The formation energy (no corrections) comes out at -365.8 meV per atom. Its volume is 10.99 Å³/atom.

---

7.
A relaxed structure of Si3PS, computed with PBE-GGA.

The structure belongs to space group Pm-3m (No. 221); the cell edges are 4.579, 4.579 and 4.579 Å and the angles 90.00°, 90.00° and 90.00°. The asymmetric unit holds Si at (0.000, 0.000, 0.500), P at (0.000, 0.000, 0.000) and S at (0.500, 0.500, 0.500).

The formation energy (no corrections) comes out at 964.5 meV per atom. Its volume is 19.20 Å³/atom.

---

8.
A relaxed structure of MnAlCuMo, computed with PBE-GGA.

The structure belongs to space group F-43m (No. 216); the cell edges are 5.970, 5.970 and 5.970 Å and the angles 90.00°, 90.00° and 90.00°. The asymmetric unit holds Mn at (0.000, 0.000, 0.000), Al at (0.250, 0.250, 0.750), Cu at (0.000, 0.000, 0.500) and Mo at (0.250, 0.250, 0.250).

The calculation puts the formation energy at -0.02 eV/atom. Its volume is 13.30 Å³/atom.

---

9.
A relaxed structure of AlBiAu3, computed with PBE-GGA.

The structure belongs to space group Pm-3m (No. 221); the cell edges are 4.882, 4.882 and 4.882 Å and the angles 90.00°, 90.00° and 90.00°. The asymmetric unit holds Al at (0.000, 0.000, 0.000), Bi at (0.500, 0.500, 0.500) and Au at (0.000, 0.000, 0.500).

The calculation puts the formation energy at 0.17 eV/atom. Its volume is 23.27 Å³/atom.

---

10.
A relaxed structure of NaCuGe2, computed with PBE-GGA.

The structure belongs to space group R3m (No. 160, hexagonal axes); the cell edges are 4.0248, 4.0248 and 18.3581 Å and the angles 90.00°, 90.00° and 120.00°. The asymmetric unit holds Na at (0.0000, 0.0000, 0.0000), Cu at (0.0000, 0.0000, 0.8250), Ge at (0.0000, 0.0000, 0.2102) and Ge at (0.0000, 0.0000, 0.4488).

The calculation puts the formation energy at -0.02 eV/atom. Its volume is 21.46 Å³/atom.

---

11.
A relaxed structure of PmDy3Bi4, computed with PBE-GGA.

The structure belongs to space group Cmmm (No. 65); the cell edges are 9.004, 12.733 and 4.505 Å and the angles 90.00°, 90.00° and 90.00°. The asymmetric unit holds Pm at (0.000, 0.000, 0.000), Dy at (0.000, 0.500, 0.000), Dy at (0.250, 0.250, 0.500), Bi at (0.000, 0.252, 0.000) and Bi at (0.245, 0.500, 0.500).

The calculation puts the formation energy at -0.88 eV/atom. Its volume is 32.28 Å³/atom.

---

12.
A relaxed structure of BaNbH, computed with PBE-GGA.

The structure belongs to space group P-6m2 (No. 187); the cell edges are 3.5149, 3.5149 and 11.8324 Å and the angles 90.00°, 90.00° and 120.00°. The asymmetric unit holds Ba at (0.0000, 0.0000, 0.1592), Nb at (0.6667, 0.3333, 0.4037), H at (0.3333, 0.6667, 0.0000) and H at (0.3333, 0.6667, 0.5000).

Its volume is 21.10 Å³/atom.

---

Number 1: DFT total energy -4.6356 eV/atom. Number 2: DFT total energy -9.6852 eV/atom. Number 3: DFT total energy -3.2475 eV/atom. Number 4: DFT total energy -1.6936 eV/atom. Number 5: DFT total energy -4.4269 eV/atom. Number 6: DFT total energy -5.0907 eV/atom. Number 7: DFT total energy -4.1968 eV/atom. Number 8: DFT total energy -6.9790 eV/atom. Number 9: DFT total energy -3.3174 eV/atom. Number 10: DFT total energy -3.6858 eV/atom. Number 11: DFT total energy -5.1369 eV/atom. Number 12: DFT total energy -4.5832 eV/atom.